Computed, not measured: a relaxed LiGdSnHg crystal at the PBE level of DFT.

```
data_LiGdSnHg
_cell_length_a 7.267
_cell_length_b 7.267
_cell_length_c 7.267
_cell_angle_alpha 90.00
_cell_angle_beta 90.00
_cell_angle_gamma 90.00
_symmetry_space_group_name_H-M 'F -4 3 m'
_symmetry_Int_Tables_number 216
_symmetry_space_group_name_Hall 'F -4 2 3'
loop_
_atom_site_label
_atom_site_fract_x
_atom_site_fract_y
_atom_site_fract_z
Li1 0.000 0.000 0.000
Gd1 0.000 0.000 0.500
Sn1 0.250 0.250 0.750
Hg1 0.250 0.250 0.250
```

=====

Computed, not measured: a relaxed La2CeThN4 crystal at the PBE level of DFT.

```
data_La2CeThN4
_cell_length_a 6.358
_cell_length_b 3.676
_cell_length_c 6.391
_cell_angle_alpha 90.00
_cell_angle_beta 109.35
_cell_angle_gamma 90.00
_symmetry_space_group_name_H-M 'P 1 2/m 1'
_symmetry_Int_Tables_number 10
loop_
_symmetry_equiv_pos_as_xyz
'x,y,z'
'-x,-y,-z'
'-x,y,-z'
'x,-y,z'
loop_
_atom_site_label
_atom_site_fract_x
_atom_site_fract_y
_atom_site_fract_z
La1 0.000 0.000 0.000
La2 0.500 0.500 0.000
Ce1 0.000 0.500 0.500
Th1 0.500 0.000 0.500
N1 0.242 0.000 0.727
N2 0.257 0.500 0.273
```

Output
Formation energy without anion corrections: -11.8 eV per formula unit

=====

Computed, not measured: a relaxed NdDyMgCd crystal at the PBE level of DFT.

```
data_NdDyMgCd
_cell_length_a 7.631
_cell_length_b 7.631
_cell_length_c 7.631
_cell_angle_alpha 90.00
_cell_angle_beta 90.00
_cell_angle_gamma 90.00
_symmetry_space_group_name_H-M 'F -4 3 m'
_symmetry_Int_Tables_number 216
_symmetry_space_group_name_Hall 'F -4 2 3'
loop_
_atom_site_label
_atom_site_fract_x
_atom_site_fract_y
_atom_site_fract_z
Nd1 0.000 0.000 0.000
Dy1 0.000 0.000 0.500
Mg1 0.250 0.250 0.250
Cd1 0.250 0.250 0.750
```

=====

Computed, not measured: a relaxed LiCe3Th2S6 crystal at the PBE level of DFT.

```
data_LiCe3Th2S6
_cell_length_a 6.929
_cell_length_b 12.029
_cell_length_c 6.939
_cell_angle_alpha 90.00
_cell_angle_beta 109.60
_cell_angle_gamma 90.00
_symmetry_space_group_name_H-M 'C 1 2/m 1'
_symmetry_Int_Tables_number 12
loop_
_symmetry_equiv_pos_as_xyz
'x,y,z'
'-x,-y,-z'
'-x,y,-z'
'x,-y,z'
'x+1/2,y+1/2,z'
'-x+1/2,-y+1/2,-z'
'-x+1/2,y+1/2,-z'
'x+1/2,-y+1/2,z'
loop_
_atom_site_label
_atom_site_fract_x
_atom_site_fract_y
_atom_site_fract_z
Li1 0.000 0.000 0.000
Ce1 0.000 0.168 0.500
Ce2 0.000 0.500 0.500
Th1 0.000 0.334 0.000
S1 0.240 0.000 0.755
S2 0.241 0.161 0.242
```

Output
Formation energy without anion corrections: -22.5 eV per formula unit

=====

Computed, not measured: a relaxed YHo2Sc7 crystal at the PBE level of DFT.

```
data_YHo2Sc7
_cell_length_a 6.027
_cell_length_b 27.070
_cell_length_c 3.328
_cell_angle_alpha 90.00
_cell_angle_beta 90.00
_cell_angle_gamma 90.00
_symmetry_space_group_name_H-M 'C m m m'
_symmetry_Int_Tables_number 65
_symmetry_space_group_name_Hall '-C 2 2'
loop_
_atom_site_label
_atom_site_fract_x
_atom_site_fract_y
_atom_site_fract_z
Y1 0.000 0.000 0.000
Ho1 0.000 0.289 0.500
Sc1 0.000 0.182 0.000
Sc2 0.000 0.500 0.500
Sc3 0.247 0.099 0.500
```

Output
Excess energy over the best structure of this formula in the dataset: 0.089 eV per atom

=====

Computed, not measured: a relaxed SiSbW crystal at the PBE level of DFT.

```
data_SiSbW
_cell_length_a 4.3396
_cell_length_b 4.3396
_cell_length_c 3.4256
_cell_angle_alpha 90.00
_cell_angle_beta 90.00
_cell_angle_gamma 120.00
_symmetry_space_group_name_H-M 'P -6 m 2'
_symmetry_Int_Tables_number 187
_symmetry_space_group_name_Hall 'P -6 2'
loop_
_atom_site_label
_atom_site_fract_x
_atom_site_fract_y
_atom_site_fract_z
Si1 0.0000 0.0000 0.0000
Sb1 0.3333 0.6667 0.5000
W1 0.6667 0.3333 0.0000
```

Output
Formation energy without anion corrections: 1.7 eV per formula unit
Excess energy over the best structure of this formula in the dataset: 0.250 eV per atom

=====

Computed uncorrected energy (eV/atom) in order:
-5.61 -8.53 -3.17 -6.82 -5.84 -6.95
Computed calculated volume (Å³ per atom) in order:
23.99 17.62 27.77 22.70 27.15 18.62